The following is a DFT calculation (PBE) of a relaxed structure of BeTc.

Unit cell a=9.357 b=9.357 c=2.422 alpha=90.00 beta=90.00 gamma=120.00
Element x y z (fractional)
Be (0.932, 0.642, 0.250)
Be (0.358, 0.290, 0.250)
Be (0.290, 0.932, 0.750)
Be (0.710, 0.068, 0.250)
Be (0.642, 0.710, 0.750)
Be (0.068, 0.358, 0.750)
Tc (0.648, 0.492, 0.250)
Tc (0.508, 0.157, 0.250)
Tc (0.157, 0.648, 0.750)
Tc (0.843, 0.352, 0.250)
Tc (0.492, 0.843, 0.750)
Tc (0.352, 0.508, 0.750)

## Properties
* theoretical density: 5.81 g cm⁻³
* magnetic moment: 0.000 μB/atom
* ΔH_f (0 K): 0.52 eV/atom
* space group: P6_3/m, No. 176
* uncorrected energy: -0.480 Ry per atom